[1]
TaAlSbRu2, relaxed, DFT PBE; space group = P4/mmm, No. 123; raw total energy = -6.326 eV per atom
1.0
4.750 0.000 0.000
0.000 4.750 0.000
0.000 0.000 5.256
Ta Al Sb Ru
1 1 1 2
Direct
0.000 0.000 0.000
0.500 0.500 0.500
0.000 0.000 0.500
0.000 0.500 0.000
0.500 0.000 0.000

=====

[2]
Ca3TcCl, relaxed, DFT PBE; space group = Pm-3m, No. 221; energy above the most stable polymorph in this dataset = 0.00 eV/f.u.
1.0
5.447 0.000 0.000
0.000 5.447 0.000
0.000 0.000 5.447
Ca Tc Cl
3 1 1
Direct
0.000 0.000 0.500
0.000 0.500 0.000
0.500 0.000 0.000
0.000 0.000 0.000
0.500 0.500 0.500

=====

[3]
Ba2Ga6IrPt, relaxed, DFT PBE; energy of formation from the pure elements = -0.429 eV per atom; space group = Immm, No. 71
1.0
-3.470 3.500 4.928
3.470 -3.500 4.928
3.470 3.500 -4.928
Ba Ga Ir Pt
2 6 1 1
Direct
0.250 0.250 0.000
0.750 0.750 0.000
0.251 0.249 0.500
0.251 0.751 0.003
0.251 0.751 0.500
0.749 0.249 0.500
0.749 0.249 0.997
0.749 0.751 0.500
0.500 0.000 0.500
0.000 0.500 0.500

=====

[4]
TbYC, relaxed, DFT PBE; energy of formation from the pure elements = -0.252 eV per atom; space group = P2_1/c, No. 14; energy above the most stable polymorph in this dataset = 0.07 eV/f.u.
1.0
6.289 0.000 0.000
0.000 7.183 0.000
-0.097 0.000 6.223
Tb Y C
4 4 4
Direct
0.216 0.125 0.087
0.216 0.375 0.587
0.784 0.625 0.413
0.784 0.875 0.913
0.215 0.625 0.086
0.215 0.875 0.586
0.785 0.125 0.414
0.785 0.375 0.914
0.000 0.125 0.750
0.000 0.375 0.250
0.000 0.625 0.750
0.000 0.875 0.250